Crystalline NiAs6Ir at its relaxed geometry, computed with PBE.

Values from the calculation:
Total moment   0.0 μB per formula unit
DFT formation energy   -285.4 meV per atom
SG   C2/m, No. 12

```
NiAs6Ir
1.0
6.0170 -4.2567 0.0000
6.0170 4.2567 0.0000
-6.0084 0.0000 6.0272
Ni As Ir
2 12 2
Cartesian
3.0085 2.1284 0.0000
3.0085 -2.1284 0.0000
5.0726 2.9952 0.8919
0.9531 2.9952 5.1354
2.1480 1.3021 2.0903
-1.8402 0.0000 6.0157
-0.0301 0.0000 4.2608
3.8776 1.3021 3.9370
2.1480 -1.3021 2.0903
6.0557 0.0000 1.7664
7.8658 0.0000 0.0115
3.8776 -1.3021 3.9370
5.0726 -2.9952 0.8919
0.9531 -2.9952 5.1354
0.0043 2.1284 3.0136
0.0043 -2.1284 3.0136
```

Crystalline NiAsIr at its relaxed geometry, computed with PBE.

Values from the calculation:
Total moment   0.0 μB per formula unit
DFT formation energy   -14.9 meV per atom
SG   F-43m, No. 216
Distance to the lowest polymorph of the same formula   0.0872 eV/atom

```
NiAsIr
1.0
0.0000 2.8851 2.8851
2.8851 0.0000 2.8851
2.8851 2.8851 0.0000
Ni As Ir
1 1 1
Cartesian
0.0000 0.0000 0.0000
2.8851 2.8851 2.8851
1.4425 1.4425 1.4425
```

Crystalline NiAsIr2 at its relaxed geometry, computed with PBE.

Values from the calculation:
Total moment   0.0 μB per formula unit
DFT formation energy   145.1 meV per atom
SG   Pmm2, No. 25

```
NiAsIr2
1.0
2.8184 0.0000 0.0000
0.0000 3.7109 0.0000
0.0000 0.0000 5.4024
Ni As Ir
1 1 2
Cartesian
0.0000 0.0000 0.0000
1.4092 1.8555 1.3762
0.0000 0.0000 2.7774
1.4092 1.8555 4.2370
```

Crystalline NiAsIr2 at its relaxed geometry, computed with PBE.

Values from the calculation:
Total moment   0.0 μB per formula unit
DFT formation energy   145.1 meV per atom
SG   Cm, No. 8

```
NiAsIr2
1.0
4.2886 -1.4392 0.0000
4.2886 1.4392 0.0000
-0.5758 0.0000 4.6072
Ni As Ir
1 1 2
Cartesian
0.0000 0.0000 0.0000
6.3843 0.0000 1.0397
1.8023 0.0000 3.5758
4.1751 0.0000 2.3551
```

Crystalline NiAsIr2 at its relaxed geometry, computed with PBE.

Values from the calculation:
Total moment   0.0 μB per formula unit
DFT formation energy   158.7 meV per atom
SG   P4mm, No. 99

```
NiAsIr2
1.0
2.8625 0.0000 0.0000
0.0000 2.8625 0.0000
0.0000 0.0000 6.8445
Ni As Ir
1 1 2
Cartesian
0.0000 0.0000 0.0000
1.4313 1.4313 1.5332
0.0000 0.0000 3.3026
1.4313 1.4313 5.1548
```

Crystalline NiAsIr2 at its relaxed geometry, computed with PBE.

Values from the calculation:
Total moment   0.0 μB per formula unit
DFT formation energy   309.8 meV per atom
SG   F-43m, No. 216

```
NiAsIr2
1.0
0.0000 3.0640 3.0640
3.0640 0.0000 3.0640
3.0640 3.0640 0.0000
Ni As Ir
1 1 2
Cartesian
0.0000 0.0000 0.0000
4.5960 4.5960 4.5960
1.5320 1.5320 1.5320
3.0640 3.0640 3.0640
```

Crystalline Ni3AsIr at its relaxed geometry, computed with PBE.

Values from the calculation:
Total moment   0.0 μB per formula unit
DFT formation energy   826.8 meV per atom
SG   Pm-3m, No. 221
Distance to the lowest polymorph of the same formula   0.0000 eV/atom

```
Ni3AsIr
1.0
4.2352 0.0000 0.0000
0.0000 4.2352 0.0000
0.0000 0.0000 4.2352
Ni As Ir
3 1 1
Cartesian
0.0000 0.0000 2.1176
0.0000 2.1176 0.0000
2.1176 0.0000 0.0000
0.0000 0.0000 0.0000
2.1176 2.1176 2.1176
```

Crystalline Ni4AsIr at its relaxed geometry, computed with PBE.

Values from the calculation:
Total moment   2.1 μB per formula unit
DFT formation energy   238.1 meV per atom
SG   F-43m, No. 216

```
Ni4AsIr
1.0
0.0000 3.3487 3.3487
3.3487 0.0000 3.3487
3.3487 3.3487 0.0000
Ni As Ir
4 1 1
Cartesian
2.5161 2.5161 2.5161
4.1813 4.1813 2.5161
4.1813 2.5161 4.1813
2.5161 4.1813 4.1813
0.0000 0.0000 0.0000
5.0230 5.0230 5.0230
```